The following is a GGA-PBE calculation of a relaxed Zr3Si crystal, from OQMD.

Computed properties:
For the electronic total energy, the calculation gives -32.560 eV per formula unit. The space group is Cmcm (63). The value obtained for the total magnetization is 0.000 μB per formula unit.

Cell: 6.5445 5.9231 4.9669 Å, 90.00 90.00 123.53°
Last column: nearest neighbours and their distance in Å.
Atoms (fractional coordinates):
1 Si 0.0853 0.6705 0.0000  10 Zr 2.90-3.17
2 Si 0.7481 0.9962 0.5000  10 Zr 2.90-3.17
3 Zr 0.0356 0.1272 0.0000  4 Si 2.90-3.05, 7 Zr 2.91-3.21
4 Zr 0.5916 0.1273 0.0000  4 Si 2.90-3.05, 7 Zr 2.91-3.21
5 Zr 0.5480 0.5960 0.0000  8 Zr 2.94-3.09, 4 Si 3.17-3.29
6 Zr 0.2854 0.0706 0.5000  8 Zr 2.94-3.09, 4 Si 3.17-3.29
7 Zr 0.2417 0.5394 0.5000  4 Si 2.90-3.05, 7 Zr 2.91-3.21
8 Zr 0.7977 0.5394 0.5000  4 Si 2.90-3.05, 7 Zr 2.91-3.21

***

The following is a GGA-PBE calculation of a relaxed LiHfAuSe3 crystal, from OQMD.

Computed properties:
For the electronic total energy, the calculation gives -31.183 eV per formula unit. The energy above the most stable polymorph in this dataset comes out at 0.00 eV/f.u. The space group is P2_1/m (11). The value obtained for the total magnetization is 0.000 μB per formula unit.

Cell: 7.6308 3.8367 9.2319 Å, 90.00 102.93 90.00°
Last column: nearest neighbours and their distance in Å.
Atoms (fractional coordinates):
1 Au 0.1047 0.2500 0.0970  3 Se 2.55-2.66
2 Au 0.8953 0.7500 0.9030  3 Se 2.55-2.66
3 Hf 0.3189 0.7500 0.3254  6 Se 2.68-2.81
4 Hf 0.6811 0.2500 0.6746  6 Se 2.68-2.81
5 Li 0.7260 0.7500 0.1909  4 Se 2.78-2.86
6 Li 0.2740 0.2500 0.8091  4 Se 2.78-2.86
7 Se 0.3167 0.7500 0.0320  2 Au 2.66, 1 Hf 2.70, 2 Li 2.78
8 Se 0.5826 0.2500 0.3626  3 Hf 2.75-2.81, 2 Li 2.86
9 Se 0.0908 0.2500 0.3704  1 Au 2.55, 2 Hf 2.68
10 Se 0.9092 0.7500 0.6296  1 Au 2.55, 2 Hf 2.68
11 Se 0.4174 0.7500 0.6374  3 Hf 2.75-2.81, 2 Li 2.86
12 Se 0.6833 0.2500 0.9680  2 Au 2.66, 1 Hf 2.70, 2 Li 2.78

***

The following is a GGA-PBE calculation of a relaxed Y2Zr4Tl3C3 crystal, from OQMD.

Computed properties:
For the electronic total energy, the calculation gives -88.540 eV per formula unit. The space group is C2/c (15). The value obtained for the total magnetization is 0.002 μB per formula unit.

Cell: 6.0018 6.0018 15.7150 Å, 101.17 101.17 60.02°
Last column: nearest neighbours and their distance in Å.
Atoms (fractional coordinates):
1 C 0.5000 0.0000 0.0000  4 Zr 2.32, 2 Y 2.50
2 C 0.8485 0.3258 0.0000  4 Zr 2.30-2.32, 2 Y 2.52
3 C 0.1515 0.6742 0.0000  4 Zr 2.30-2.32, 2 Y 2.52
4 C 0.3258 0.8485 0.5000  4 Zr 2.30-2.32, 2 Y 2.52
5 C 0.0000 0.5000 0.5000  4 Zr 2.32, 2 Y 2.50
6 C 0.6742 0.1515 0.5000  4 Zr 2.30-2.32, 2 Y 2.52
7 Tl 0.1960 0.4154 0.2486  4 Zr 3.21-3.23, 4 Tl 3.22, 2 Y 3.31-3.32
8 Tl 0.9722 0.0278 0.2500  4 Tl 3.22, 4 Zr 3.23-3.24, 2 Y 3.34
9 Tl 0.5846 0.8040 0.2514  4 Zr 3.21-3.23, 4 Tl 3.22, 2 Y 3.31-3.32
10 Tl 0.4154 0.1960 0.7486  4 Zr 3.21-3.23, 4 Tl 3.22, 2 Y 3.31-3.32
11 Tl 0.0278 0.9722 0.7500  4 Tl 3.22, 4 Zr 3.23-3.24, 2 Y 3.34
12 Tl 0.8040 0.5846 0.7514  4 Zr 3.21-3.23, 4 Tl 3.22, 2 Y 3.31-3.32
13 Y 0.5326 0.3702 0.0952  3 C 2.50-2.52
14 Y 0.6298 0.4674 0.4048  3 C 2.50-2.52
15 Y 0.3702 0.5326 0.5952  3 C 2.50-2.52
16 Y 0.4674 0.6298 0.9048  3 C 2.50-2.52
17 Zr 0.8539 0.6930 0.0780  3 C 2.30-2.32
18 Zr 0.1989 0.0202 0.0780  3 C 2.30-2.32
19 Zr 0.9798 0.8011 0.4220  3 C 2.30-2.32
20 Zr 0.3070 0.1461 0.4220  3 C 2.30-2.32
21 Zr 0.6930 0.8539 0.5780  3 C 2.30-2.32
22 Zr 0.0202 0.1989 0.5780  3 C 2.30-2.32
23 Zr 0.8011 0.9798 0.9220  3 C 2.30-2.32
24 Zr 0.1461 0.3070 0.9220  3 C 2.30-2.32

***

The following is a GGA-PBE calculation of a relaxed CsNaTcSe3 crystal, from OQMD.

Computed properties:
For the electronic total energy, the calculation gives -26.388 eV per formula unit. The space group is Pnma (62). The value obtained for the total magnetization is 2.766 μB per formula unit.

Cell: 16.0461 3.9444 10.8582 Å, 90.00 90.00 90.00°
Last column: nearest neighbours and their distance in Å.
Atoms (fractional coordinates):
1 Cs 0.2617 0.7500 0.0566  7 Se 3.58-3.93, 2 Cs 3.94, 2 Na 3.96
2 Cs 0.7617 0.7500 0.4434  7 Se 3.58-3.93, 2 Cs 3.94, 2 Na 3.96
3 Cs 0.2383 0.2500 0.5566  7 Se 3.58-3.93, 2 Cs 3.94, 2 Na 3.96
4 Cs 0.7383 0.2500 0.9434  7 Se 3.58-3.93, 2 Cs 3.94, 2 Na 3.96
5 Na 0.4746 0.2500 0.0925  4 Se 2.68-2.95, 2 Na 2.93
6 Na 0.9746 0.2500 0.4075  4 Se 2.68-2.95, 2 Na 2.93
7 Na 0.0254 0.7500 0.5925  4 Se 2.68-2.95, 2 Na 2.93
8 Na 0.5254 0.7500 0.9075  4 Se 2.68-2.95, 2 Na 2.93
9 Se 0.0756 0.2500 0.0654  3 Tc 2.57-2.61
10 Se 0.5874 0.7500 0.1629  1 Tc 2.57, 2 Na 2.78
11 Se 0.8825 0.2500 0.2019  2 Tc 2.65, 1 Na 2.68
12 Se 0.3825 0.2500 0.2981  2 Tc 2.65, 1 Na 2.68
13 Se 0.0874 0.7500 0.3371  1 Tc 2.57, 2 Na 2.78
14 Se 0.5756 0.2500 0.4346  3 Tc 2.57-2.61
15 Se 0.4244 0.7500 0.5654  3 Tc 2.57-2.61
16 Se 0.9126 0.2500 0.6629  1 Tc 2.57, 2 Na 2.78
17 Se 0.6175 0.7500 0.7019  2 Tc 2.65, 1 Na 2.68
18 Se 0.1175 0.7500 0.7981  2 Tc 2.65, 1 Na 2.68
19 Se 0.4126 0.2500 0.8371  1 Tc 2.57, 2 Na 2.78
20 Se 0.9244 0.7500 0.9346  3 Tc 2.57-2.61
21 Tc 0.9872 0.7500 0.1527  6 Se 2.57-2.65
22 Tc 0.4872 0.7500 0.3473  6 Se 2.57-2.65
23 Tc 0.5128 0.2500 0.6527  6 Se 2.57-2.65
24 Tc 0.0128 0.2500 0.8473  6 Se 2.57-2.65

***

The following is a GGA-PBE calculation of a relaxed Cs2YAuBr6 crystal, from OQMD.

Computed properties:
For the electronic total energy, the calculation gives -35.993 eV per formula unit. The space group is Fm-3m (225). The value obtained for the total magnetization is 0.000 μB per formula unit.

Cell: 7.9848 7.9848 7.9848 Å, 60.00 60.00 60.00°
Last column: nearest neighbours and their distance in Å.
Atoms (fractional coordinates):
1 Au 0.0000 0.0000 0.0000  6 Br 2.85
2 Br 0.7478 0.2522 0.2522  1 Y 2.80, 1 Au 2.85
3 Br 0.2522 0.7478 0.2522  1 Y 2.80, 1 Au 2.85
4 Br 0.7478 0.7478 0.2522  1 Y 2.80, 1 Au 2.85
5 Br 0.2522 0.2522 0.7478  1 Y 2.80, 1 Au 2.85
6 Br 0.7478 0.2522 0.7478  1 Y 2.80, 1 Au 2.85
7 Br 0.2522 0.7478 0.7478  1 Y 2.80, 1 Au 2.85
8 Cs 0.2500 0.2500 0.2500  12 Br 3.99
9 Cs 0.7500 0.7500 0.7500  12 Br 3.99
10 Y 0.5000 0.5000 0.5000  6 Br 2.80

***

The following is a GGA-PBE calculation of a relaxed SmAgGeO3 crystal, from OQMD.

Computed properties:
For the electronic total energy, the calculation gives -36.760 eV per formula unit. The space group is Cmcm (63). The value obtained for the total magnetization is 0.001 μB per formula unit.

Cell: 4.9704 4.9704 9.4792 Å, 90.00 90.00 131.29°
Last column: nearest neighbours and their distance in Å.
Atoms (fractional coordinates):
1 Ag 0.7075 0.2924 0.2500  1 O 2.16, 1 Ge 2.34
2 Ag 0.2924 0.7075 0.7500  1 O 2.16, 1 Ge 2.34
3 Ge 0.4488 0.5514 0.2500  2 O 1.82
4 Ge 0.5514 0.4488 0.7500  2 O 1.82
5 O 0.3602 0.6397 0.0777  1 Ge 1.82
6 O 0.9459 0.0539 0.2500  2 Ge 2.05, 1 Ag 2.16
7 O 0.3602 0.6397 0.4223  1 Ge 1.82
8 O 0.6397 0.3602 0.5777  1 Ge 1.82
9 O 0.0539 0.9459 0.7500  2 Ge 2.05, 1 Ag 2.16
10 O 0.6397 0.3602 0.9223  1 Ge 1.82
11 Sm 0.0002 0.0002 0.0000  6 O 2.42-2.52
12 Sm 0.0002 0.0002 0.5000  6 O 2.42-2.52

***

The following is a GGA-PBE calculation of a relaxed KIrO2 crystal, from OQMD.

Computed properties:
For the electronic total energy, the calculation gives -22.517 eV per formula unit. The space group is P4_12_12 (92). The value obtained for the total magnetization is 0.000 μB per formula unit.

Cell: 5.3901 5.3901 8.6797 Å, 90.00 90.00 90.00°
Last column: nearest neighbours and their distance in Å.
Atoms (fractional coordinates):
1 Ir 0.2838 0.2838 0.0000  4 O 1.94-2.00
2 Ir 0.2162 0.7838 0.2500  4 O 1.94-2.00
3 Ir 0.7162 0.7162 0.5000  4 O 1.94-2.00
4 Ir 0.7838 0.2162 0.7500  4 O 1.94-2.00
5 K 0.6869 0.6869 0.0000  2 O 2.50
6 K 0.8131 0.1869 0.2500  2 O 2.50
7 K 0.3131 0.3131 0.5000  2 O 2.50
8 K 0.1869 0.8131 0.7500  2 O 2.50
9 O 0.1341 0.5991 0.0561  2 Ir 1.94-2.00
10 O 0.3659 0.0991 0.1939  2 Ir 1.94-2.00
11 O 0.9009 0.6341 0.3061  2 Ir 1.94-2.00
12 O 0.4009 0.8659 0.4439  2 Ir 1.94-2.00
13 O 0.8659 0.4009 0.5561  2 Ir 1.94-2.00
14 O 0.6341 0.9009 0.6939  2 Ir 1.94-2.00
15 O 0.0991 0.3659 0.8061  2 Ir 1.94-2.00
16 O 0.5991 0.1341 0.9439  2 Ir 1.94-2.00

***

The following is a GGA-PBE calculation of a relaxed TlNiIrS3 crystal, from OQMD.

Computed properties:
For the electronic total energy, the calculation gives -30.614 eV per formula unit. The space group is Cmcm (63). The value obtained for the total magnetization is 0.222 μB per formula unit.

Cell: 7.2262 7.2262 9.3541 Å, 90.00 90.00 151.15°
Last column: nearest neighbours and their distance in Å.
Atoms (fractional coordinates):
1 Ir 0.5000 0.5000 0.0000  6 S 2.41-2.50
2 Ir 0.5000 0.5000 0.5000  6 S 2.41-2.50
3 Ni 0.0297 0.9703 0.2500  4 S 2.21-2.22
4 Ni 0.9703 0.0297 0.7500  4 S 2.21-2.22
5 S 0.1105 0.8895 0.0473  1 Ni 2.21, 2 Ir 2.41
6 S 0.4371 0.5629 0.2500  2 Ni 2.22
7 S 0.1105 0.8895 0.4527  1 Ni 2.21, 2 Ir 2.41
8 S 0.8895 0.1105 0.5473  1 Ni 2.21, 2 Ir 2.41
9 S 0.5629 0.4371 0.7500  2 Ni 2.22
10 S 0.8895 0.1105 0.9527  1 Ni 2.21, 2 Ir 2.41
11 Tl 0.7492 0.2508 0.2500  8 S 3.19-3.40, 2 Ni 3.56
12 Tl 0.2508 0.7492 0.7500  8 S 3.19-3.40, 2 Ni 3.56

***

The following is a GGA-PBE calculation of a relaxed Na4P2PdAu crystal, from OQMD.

Computed properties:
For the electronic total energy, the calculation gives -28.130 eV per formula unit. The space group is C2/m (12).

Cell: 5.5529 5.5529 5.5542 Å, 90.22 90.22 103.05°
Last column: nearest neighbours and their distance in Å.
Atoms (fractional coordinates):
1 Au 0.0000 0.0000 0.0000  2 P 2.40
2 Na 0.8254 0.4689 0.2530  4 P 2.95-3.27, 1 Na 3.10, 2 Pd 3.19-3.28, 2 Au 3.22-3.29
3 Na 0.4689 0.8254 0.2530  4 P 2.95-3.27, 1 Na 3.10, 2 Pd 3.19-3.28, 2 Au 3.22-3.29
4 Na 0.5311 0.1746 0.7470  4 P 2.95-3.27, 1 Na 3.10, 2 Pd 3.19-3.28, 2 Au 3.22-3.29
5 Na 0.1746 0.5311 0.7470  4 P 2.95-3.27, 1 Na 3.10, 2 Pd 3.19-3.28, 2 Au 3.22-3.29
6 P 0.2808 0.2808 0.2568  1 Pd 2.37, 1 Au 2.40
7 P 0.7192 0.7192 0.7432  1 Pd 2.37, 1 Au 2.40
8 Pd 0.0000 0.0000 0.5000  2 P 2.37

***

The following is a GGA-PBE calculation of a relaxed LaErZn2Ga2 crystal, from OQMD.

Computed properties:
For the electronic total energy, the calculation gives -21.524 eV per formula unit. The space group is P3m1 (156). The value obtained for the total magnetization is 0.002 μB per formula unit.

Cell: 4.4607 4.4607 7.4847 Å, 90.00 90.00 120.00°
Last column: nearest neighbours and their distance in Å.
Atoms (fractional coordinates):
1 Er 0.0000 0.0000 0.7495  6 Zn 2.96-3.20, 6 Ga 2.99-3.23
2 Ga 0.3333 0.6667 0.4891  3 Zn 2.62
3 Ga 0.6667 0.3333 0.9515  3 Zn 2.60
4 La 0.0000 0.0000 0.2510  6 Ga 3.13-3.41, 6 Zn 3.17-3.44
5 Zn 0.3333 0.6667 0.0033  3 Ga 2.60
6 Zn 0.6667 0.3333 0.5557  3 Ga 2.62